[1]
A plane-wave DFT calculation with GGA-PBE was carried out for crystalline MoIr2Rh at its relaxed geometry.

Geometry as POSCAR:
```
MoIr2Rh
1.0
-2.283 0.411 -1.450
0.793 -1.912 -1.790
-3.685 -5.501 4.243
Rh Mo Ir
1 1 2
Cartesian
-3.511 -4.879 1.564
-1.845 -2.754 2.124
-1.659 -2.115 -0.568
-0.003 -0.005 0.004
```

- Total moment: 0.000 Bohr magnetons per cell
- Distance to the lowest polymorph of the same formula: 145 meV per atom
- Calculated volume: 59 Å³ per cell

---

[2]
A plane-wave DFT calculation with GGA-PBE was carried out for crystalline Lu2CdBi at its relaxed geometry.

Geometry as POSCAR:
```
Lu2CdBi
1.0
5.335 0.000 0.000
2.667 4.620 0.000
2.667 1.540 4.356
Cd Lu Bi
1 2 1
Cartesian
0.000 0.000 0.000
8.002 4.620 3.267
2.667 1.540 1.089
5.335 3.080 2.178
```

- Total moment: 0.001 Bohr magnetons per cell
- Distance to the lowest polymorph of the same formula: 53 meV per atom
- Calculated volume: 107 Å³ per cell

---

[3]
A plane-wave DFT calculation with GGA-PBE was carried out for crystalline CsSbPbCl6 at its relaxed geometry.

Geometry as POSCAR:
```
CsSbPbCl6
1.0
-7.120 1.240 1.414
-5.163 -2.537 -4.597
-0.343 -6.506 3.976
Cl Sb Cs Pb
6 1 1 1
Cartesian
-8.031 -6.595 -1.127
-6.144 -3.044 -1.220
-9.680 -3.591 -2.419
-9.045 -1.675 0.769
-6.780 -4.788 1.938
-10.483 -5.008 1.258
-8.360 -4.117 -0.133
-7.120 1.239 1.415
-4.266 -3.686 0.928
```

- Total moment: 0.000 Bohr magnetons per cell
- E: -3.44 eV/atom
- Calculated volume: 358 Å³ per cell

---

[4]
A plane-wave DFT calculation with GGA-PBE was carried out for crystalline La3SnTe at its relaxed geometry.

Geometry as POSCAR:
```
La3SnTe
1.0
4.431 0.568 -0.814
-0.901 9.067 1.418
-2.611 -2.709 9.219
La Te Sn
6 2 2
Cartesian
-0.349 1.994 5.821
2.311 -1.069 5.502
-1.392 7.996 4.321
3.231 2.984 0.675
-2.313 3.943 9.147
1.267 4.933 4.002
-2.080 0.888 8.290
2.998 6.039 1.532
1.551 1.538 3.179
-0.633 5.389 6.644
```

- Total moment: 1.866 Bohr magnetons per cell
- Distance to the lowest polymorph of the same formula: 0 meV per atom
- Calculated volume: 369 Å³ per cell

---

[5]
A plane-wave DFT calculation with GGA-PBE was carried out for crystalline Sr2Al2InRh5 at its relaxed geometry.

Geometry as POSCAR:
```
Sr2Al2InRh5
1.0
-2.739 -1.590 0.844
3.651 -8.776 -4.684
4.531 -2.974 9.105
In Sr Rh Al
2 4 10 4
Cartesian
4.091 -5.875 2.211
0.000 0.000 0.000
3.267 -6.458 -1.563
6.072 -9.241 2.298
4.915 -5.292 5.984
2.111 -2.509 2.123
3.200 -8.321 1.073
2.443 -3.703 7.321
2.244 -5.019 4.193
5.760 -10.516 5.248
3.000 -9.637 -2.055
1.540 -5.489 1.021
-0.316 -2.824 0.018
0.896 -2.282 4.975
3.904 -7.851 4.245
0.456 -5.183 -1.920
6.248 -8.082 5.052
4.901 -8.804 -0.680
1.935 -3.668 -0.630
3.281 -2.946 5.102
```

- Total moment: 0.000 Bohr magnetons per cell
- E: -5.57 eV/atom
- Calculated volume: 368 Å³ per cell

---

[6]
A plane-wave DFT calculation with GGA-PBE was carried out for crystalline PuInAgRu at its relaxed geometry.

Geometry as POSCAR:
```
PuInAgRu
1.0
-0.649 4.716 0.922
-3.980 2.258 -1.603
-3.418 1.409 3.137
Ru Ag Pu In
1 1 1 1
Cartesian
0.000 0.000 0.000
-4.024 4.191 1.228
-6.036 6.287 1.842
-2.012 2.096 0.614
```

- Total moment: 4.942 Bohr magnetons per cell
- E: -7.23 eV/atom
- Calculated volume: 81 Å³ per cell

---

[7]
A plane-wave DFT calculation with GGA-PBE was carried out for crystalline YIn2Pt at its relaxed geometry.

Geometry as POSCAR:
```
YIn2Pt
1.0
-1.737 0.786 -4.382
0.157 -3.690 -0.724
-4.820 -1.570 1.629
Y In Pt
1 2 1
Cartesian
-4.366 -3.552 -1.512
-2.236 -2.251 0.483
-0.095 -0.379 -0.030
-2.034 -0.922 -1.965
```

- Total moment: 0.000 Bohr magnetons per cell
- E: -5.03 eV/atom
- Calculated volume: 94 Å³ per cell

---

[8]
A plane-wave DFT calculation with GGA-PBE was carried out for crystalline TlSi3 at its relaxed geometry.

Geometry as POSCAR:
```
TlSi3
1.0
7.623 0.000 0.000
0.000 7.270 0.000
0.000 0.000 5.891
Tl Si
4 12
Cartesian
2.884 0.099 1.473
4.739 7.171 4.418
6.696 3.536 4.418
0.927 3.734 1.473
1.096 6.164 4.418
2.716 2.529 4.418
0.751 1.101 3.220
4.563 2.534 0.274
6.527 1.106 1.473
4.563 2.534 2.671
4.907 4.741 1.473
6.872 6.169 2.671
6.872 6.169 0.274
0.751 1.101 5.616
3.060 4.736 3.220
3.060 4.736 5.616
```

- Total moment: 0.000 Bohr magnetons per cell
- Distance to the lowest polymorph of the same formula: 70 meV per atom
- Calculated volume: 326 Å³ per cell

---

[9]
A plane-wave DFT calculation with GGA-PBE was carried out for crystalline MnNi2Te at its relaxed geometry.

Geometry as POSCAR:
```
MnNi2Te
1.0
3.920 0.000 0.000
0.000 3.923 0.000
0.000 0.000 3.717
Ni Mn Te
2 1 1
Cartesian
1.960 1.962 0.000
0.000 0.000 0.000
0.000 1.962 1.858
1.960 0.000 1.858
```

- Total moment: 4.275 Bohr magnetons per cell
- E: -5.93 eV/atom
- Calculated volume: 57 Å³ per cell

---

[10]
A plane-wave DFT calculation with GGA-PBE was carried out for crystalline Cs2CrBiBr6 at its relaxed geometry.

Geometry as POSCAR:
```
Cs2CrBiBr6
1.0
8.003 0.000 0.000
0.000 8.003 0.000
4.001 4.001 5.677
Cs Br Bi Cr
2 6 1 1
Cartesian
4.001 8.003 2.838
8.003 4.001 2.838
5.911 2.091 0.000
2.091 2.091 0.000
8.003 8.003 2.959
2.091 5.911 0.000
5.911 5.911 0.000
4.001 4.001 2.718
0.000 0.000 0.000
4.001 4.001 0.000
```

- Total moment: 5.000 Bohr magnetons per cell
- E: -3.60 eV/atom
- Calculated volume: 364 Å³ per cell

---

[11]
A plane-wave DFT calculation with GGA-PBE was carried out for crystalline Cd2TeRh at its relaxed geometry.

Geometry as POSCAR:
```
Cd2TeRh
1.0
-1.941 0.596 2.483
0.441 -2.994 1.064
6.738 2.640 4.634
Cd Te Rh
2 1 1
Cartesian
1.173 -0.445 3.096
0.173 0.068 0.119
3.839 0.599 4.929
3.423 1.341 2.354
```

- Total moment: 0.000 Bohr magnetons per cell
- E: -3.16 eV/atom
- Calculated volume: 88 Å³ per cell

---

[12]
A plane-wave DFT calculation with GGA-PBE was carried out for crystalline AlZnGa at its relaxed geometry.

Geometry as POSCAR:
```
AlZnGa
1.0
2.786 0.000 0.767
1.469 4.483 0.109
-0.702 -1.165 7.996
Zn Ga Al
2 2 2
Cartesian
0.215 0.424 4.662
3.337 2.894 4.210
2.645 3.301 1.279
0.907 0.018 7.592
2.259 0.895 2.683
1.294 2.424 6.189
```

- Total moment: 0.000 Bohr magnetons per cell
- E: -2.63 eV/atom
- Calculated volume: 101 Å³ per cell